(1)
Compound: LaCoPN2
Source: Alexandria
Functional: PBE
Structure: relaxed

Cell lengths 3.9884, 3.9884, 4.4544 Å; angles 90.00, 90.00, 90.00 degrees
With the nearest neighbours (Å) after each atom.
Space group P4/mmm (No. 123)
Inequivalent atoms, fractional coordinates:
La 0.0000 0.0000 0.0000 x1  4 P 2.82, 8 N 2.99
Co 0.5000 0.5000 0.5000 x1  4 N 1.99, 2 P 2.23
P 0.5000 0.5000 0.0000 x1  2 Co 2.23
N 0.0000 0.5000 0.5000 x2  2 Co 1.99

Calculated values
Spin magnetization: 0.47 μB per atom
Raw formation energy: 0.20 eV/atom



(2)
Compound: La2CoPbN
Source: Alexandria
Functional: PBE
Structure: relaxed

Cell lengths 5.5784, 5.5784, 3.6085 Å; angles 90.00, 90.00, 90.00 degrees
With the nearest neighbours (Å) after each atom.
Space group P4/mmm (No. 123)
Inequivalent atoms, fractional coordinates:
La 0.0000 0.5000 0.0000 x2  2 N 2.79
Co 0.0000 0.0000 0.5000 x1  2 N 1.80
Pb 0.5000 0.5000 0.5000 x1  8 La 3.32, 2 Pb 3.61
N 0.0000 0.0000 0.0000 x1  2 Co 1.80

Calculated values
Spin magnetization: 0.00 μB per atom
Raw formation energy: -0.61 eV/atom



(3)
Compound: La2CoPtN
Source: Alexandria
Functional: PBE
Structure: relaxed

Cell lengths 5.2384, 5.2384, 3.5958 Å; angles 90.00, 90.00, 90.00 degrees
With the nearest neighbours (Å) after each atom.
Space group P4/mmm (No. 123)
Inequivalent atoms, fractional coordinates:
La 0.0000 0.5000 0.0000 x2  2 N 2.62
Co 0.0000 0.0000 0.5000 x1  2 N 1.80
Pt 0.5000 0.5000 0.5000 x1  8 La 3.18
N 0.0000 0.0000 0.0000 x1  2 Co 1.80

Calculated values
Spin magnetization: 0.01 μB per atom
Raw formation energy: -0.94 eV/atom



(4)
Compound: LaPu2CoN4
Source: Alexandria
Functional: PBE
Structure: relaxed

Cell lengths 3.4557, 11.4137, 11.4587 Å; angles 90.00, 90.00, 90.00 degrees
With the nearest neighbours (Å) after each atom.
Space group Cmcm (No. 63)
Inequivalent atoms, fractional coordinates:
La 0.0000 0.1004 0.2500 x4  6 N 2.55-2.84
Pu 0.0000 0.3685 0.0558 x8  6 N 2.27-2.38
Co 0.0000 0.1620 0.7500 x4  4 N 1.95-2.06
N 0.0000 0.0000 0.0000 x4  4 Pu 2.38
N 0.0000 0.2605 0.6109 x8  1 Co 1.95
N 0.0000 0.4366 0.2500 x4  2 Co 2.06

Calculated values
Spin magnetization: 0.75 μB per atom
Raw formation energy: -1.08 eV/atom



(5)
Compound: La2CoRhN
Source: Alexandria
Functional: PBE
Structure: relaxed

Cell lengths 5.2190, 5.2190, 3.5574 Å; angles 90.00, 90.00, 90.00 degrees
With the nearest neighbours (Å) after each atom.
Space group P4/mmm (No. 123)
Inequivalent atoms, fractional coordinates:
La 0.0000 0.5000 0.0000 x2  2 N 2.61
Co 0.0000 0.0000 0.5000 x1  2 N 1.78
Rh 0.5000 0.5000 0.5000 x1  8 La 3.16
N 0.0000 0.0000 0.0000 x1  2 Co 1.78

Calculated values
Spin magnetization: 0.00 μB per atom
Raw formation energy: -0.76 eV/atom



(6)
Compound: LaCoS2N
Source: Alexandria
Functional: PBE
Structure: relaxed

Cell lengths 4.7661, 4.7661, 3.5958 Å; angles 90.00, 90.00, 90.00 degrees
With the nearest neighbours (Å) after each atom.
Space group P4/mmm (No. 123)
Inequivalent atoms, fractional coordinates:
La 0.0000 0.0000 0.0000 x1  8 S 2.99
Co 0.5000 0.5000 0.5000 x1  2 N 1.80
S 0.0000 0.5000 0.5000 x2  2 Co 2.38
N 0.5000 0.5000 0.0000 x1  2 Co 1.80

Calculated values
Polymorph energy (0 for the lowest one): 0.0 kJ per mole of atoms
Spin magnetization: 0.10 μB per atom
Raw formation energy: -0.76 eV/atom



(7)
Compound: LaCoSN2
Source: Alexandria
Functional: PBE
Structure: relaxed

Cell lengths 3.9384, 3.9384, 4.5502 Å; angles 90.00, 90.00, 90.00 degrees
With the nearest neighbours (Å) after each atom.
Space group P4/mmm (No. 123)
Inequivalent atoms, fractional coordinates:
La 0.0000 0.0000 0.0000 x1  4 S 2.78, 8 N 3.01
Co 0.5000 0.5000 0.5000 x1  4 N 1.97
S 0.5000 0.5000 0.0000 x1  2 Co 2.28
N 0.0000 0.5000 0.5000 x2  2 Co 1.97

Calculated values
Spin magnetization: 0.55 μB per atom
Raw formation energy: -0.17 eV/atom



(8)
Compound: LaCoS2N
Source: Alexandria
Functional: PBE
Structure: relaxed

Cell lengths 5.5447, 5.5447, 4.2820 Å; angles 90.00, 90.00, 90.00 degrees
With the nearest neighbours (Å) after each atom.
Space group P4/mmm (No. 123)
Inequivalent atoms, fractional coordinates:
La 0.0000 0.0000 0.0000 x1  2 N 2.14
Co 0.5000 0.5000 0.5000 x1  8 S 3.50, 4 N 3.92
S 0.0000 0.5000 0.0000 x2  2 La 2.77
N 0.0000 0.0000 0.5000 x1  2 La 2.14

Calculated values
Polymorph energy (0 for the lowest one): 150.0 kJ per mole of atoms
Spin magnetization: 0.84 μB per atom
Raw formation energy: 0.80 eV/atom



Number 7 is which compound?
LaCoSN2



What is the raw formation energy in the second record?
-0.61 eV/atom



Look up the raw formation energy of the seventh one.
-0.17 eV/atom